The following is a PBE calculation of a geometry-optimized Hf2MnGa structure, from Alexandria.

M_tot, Bohr magnetons per cell: 0.2
Crystal system: trigonal
E_form, eV per atom: -0.0451

Cell lengths 3.1685, 3.1685, 8.5674 Å; angles 79.34, 79.34, 60.00 degrees
Closest atoms and distances in Å follow each position.
Fractional coordinates of all 4 atoms:
Hf: 0.2589 0.2589 0.2234  3 Mn 2.62
Hf: 0.7411 0.7411 0.7766  3 Mn 2.62
Ga: 0.5000 0.5000 0.5000  6 Hf 2.95, 6 Ga 3.17
Mn: 0.0000 0.0000 0.0000  6 Hf 2.62